# PBE AlAg4Au4, relaxed
data_AlAg4Au4
_chemical_formula_sum 'Al2 Ag8 Au8'
_cell_length_a 8.928
_cell_length_b 8.928
_cell_length_c 3.982
_cell_angle_alpha 90.00
_cell_angle_beta 90.00
_cell_angle_gamma 90.00
_space_group_name_H-M_alt 'I 4/m m m'
_space_group_IT_number 139
_space_group_name_Hall '-I 4 2'
loop_
_atom_site_label
_atom_site_fract_x
_atom_site_fract_y
_atom_site_fract_z
Al1 0.000 0.000 0.000
Ag1 0.000 0.333 0.000
Au1 0.162 0.162 0.500
# total magnetization	0.00	μB/cell
# energy of formation from the pure elements	-0.10	eV per atom
# ρ	13.04	g/cm³
# uncorrected energy	-3.243	eV/atom
# energy above the lowest structure with this stoichiometry	0.0	meV per atom